The following is a DFT calculation (PBE-GGA) of a geometry-optimized TmZn6CuNi structure.

Lattice parameters (Å, degrees): 7.558 7.558 7.558 125.57 111.93 92.56
Element x y z (fractional)
Tm: 0.440 0.190 0.250
Tm: 0.560 0.810 0.750
Zn: 0.132 0.434 0.311
Zn: 0.132 0.820 0.698
Zn: 0.158 0.908 0.250
Zn: 0.244 0.494 0.750
Zn: 0.377 0.180 0.811
Zn: 0.377 0.566 0.198
Zn: 0.623 0.434 0.802
Zn: 0.623 0.820 0.189
Zn: 0.756 0.506 0.250
Zn: 0.842 0.092 0.750
Zn: 0.868 0.180 0.302
Zn: 0.868 0.566 0.689
Cu: 0.000 0.000 0.500
Cu: 0.000 0.500 0.000
Ni: 0.000 0.000 0.000
Ni: 0.500 0.000 0.500

Calculated values
Space-group type ... Imma, No. 74
Uncorrected energy ... -2.4580 eV per atom
ΔH_f (0 K) ... -0.01 eV per atom
DOS at the Fermi energy ... 8.6 states/eV per cell



The following is a DFT calculation (PBE-GGA) of a geometry-optimized LiTcSb2Te structure.

Lattice parameters (Å, degrees): 5.054 5.054 5.931 90.00 90.00 90.00
Element x y z (fractional)
Li: 0.000 0.000 0.000
Tc: 0.500 0.500 0.500
Sb: 0.000 0.500 0.500
Sb: 0.500 0.000 0.500
Te: 0.500 0.500 0.000

Calculated values
Space-group type ... P4/mmm, No. 123
Uncorrected energy ... -4.4241 eV per atom
DOS at the Fermi energy ... 5.8 states/eV per cell
Offset from the most stable computed form ... 0.0 meV/atom



The following is a DFT calculation (PBE-GGA) of a geometry-optimized ThSnPdRh structure.

Lattice parameters (Å, degrees): 4.905 4.905 4.905 60.00 60.00 60.00
Element x y z (fractional)
Th: 0.000 0.000 0.000
Sn: 0.500 0.500 0.500
Pd: 0.250 0.250 0.250
Rh: 0.750 0.750 0.750

Calculated values
Space-group type ... F-43m, No. 216
Uncorrected energy ... -6.7057 eV per atom
ΔH_f (0 K) ... -0.71 eV per atom
DOS at the Fermi energy ... 4.9 states/eV per cell



The following is a DFT calculation (PBE-GGA) of a geometry-optimized La2FeSi3Pt12 structure.

Lattice parameters (Å, degrees): 7.798 7.798 7.798 63.27 63.27 63.27
Element x y z (fractional)
La: 0.117 0.117 0.117
La: 0.883 0.883 0.883
Fe: 0.500 0.500 0.500
Si: 0.000 0.500 0.500
Si: 0.500 0.000 0.500
Si: 0.500 0.500 0.000
Pt: 0.129 0.623 0.623
Pt: 0.145 0.145 0.605
Pt: 0.145 0.605 0.145
Pt: 0.377 0.377 0.871
Pt: 0.377 0.871 0.377
Pt: 0.395 0.855 0.855
Pt: 0.605 0.145 0.145
Pt: 0.623 0.129 0.623
Pt: 0.623 0.623 0.129
Pt: 0.855 0.395 0.855
Pt: 0.855 0.855 0.395
Pt: 0.871 0.377 0.377

Calculated values
Space-group type ... R-3m, No. 166
Uncorrected energy ... -6.4391 eV per atom
DOS at the Fermi energy ... 8.8 states/eV per cell



The following is a DFT calculation (PBE-GGA) of a geometry-optimized Mg2ReRu structure.

Lattice parameters (Å, degrees): 5.723 5.723 5.723 102.04 102.04 125.66
Element x y z (fractional)
Mg: 0.112 0.125 0.487
Mg: 0.375 0.888 0.013
Mg: 0.638 0.625 0.513
Mg: 0.875 0.362 0.987
Re: 0.250 0.750 0.500
Re: 0.500 0.500 0.000
Ru: 0.000 0.000 0.000
Ru: 0.750 0.250 0.500

Calculated values
Space-group type ... I-42d, No. 122
Uncorrected energy ... -5.3708 eV per atom
ΔH_f (0 K) ... 0.86 eV per atom
DOS at the Fermi energy ... 6.1 states/eV per cell
Offset from the most stable computed form ... 845.4 meV/atom



The following is a DFT calculation (PBE-GGA) of a geometry-optimized HfBi2Au2 structure.

Lattice parameters (Å, degrees): 7.530 7.530 4.239 90.00 90.00 90.00
Element x y z (fractional)
Hf: 0.000 0.000 0.000
Hf: 0.500 0.500 0.000
Bi: 0.179 0.321 0.500
Bi: 0.321 0.821 0.500
Bi: 0.679 0.179 0.500
Bi: 0.821 0.679 0.500
Au: 0.130 0.630 0.000
Au: 0.370 0.130 0.000
Au: 0.630 0.870 0.000
Au: 0.870 0.370 0.000

Calculated values
Space-group type ... P4/mbm, No. 127
Uncorrected energy ... -4.8733 eV per atom
ΔH_f (0 K) ... -0.02 eV per atom
DOS at the Fermi energy ... 4.3 states/eV per cell



The following is a DFT calculation (PBE-GGA) of a geometry-optimized Mg4ScTl7 structure.

Lattice parameters (Å, degrees): 7.814 7.814 9.141 120.17 120.17 43.64
Element x y z (fractional)
Mg: 0.034 0.034 0.203
Mg: 0.192 0.192 0.842
Mg: 0.808 0.808 0.158
Mg: 0.966 0.966 0.797
Sc: 0.500 0.500 0.500
Tl: 0.000 0.000 0.500
Tl: 0.237 0.237 0.206
Tl: 0.299 0.299 0.619
Tl: 0.430 0.430 0.100
Tl: 0.570 0.570 0.900
Tl: 0.701 0.701 0.381
Tl: 0.763 0.763 0.794

Calculated values
Space-group type ... C2/m, No. 12
Uncorrected energy ... -2.3931 eV per atom
ΔH_f (0 K) ... 0.05 eV per atom
DOS at the Fermi energy ... 4.7 states/eV per cell



The following is a DFT calculation (PBE-GGA) of a geometry-optimized NiHgTe2 structure.

Lattice parameters (Å, degrees): 5.382 3.846 5.486 90.00 110.36 90.00
Element x y z (fractional)
Ni: 0.000 0.000 0.000
Hg: 0.000 0.000 0.500
Te: 0.326 0.500 0.156
Te: 0.674 0.500 0.844

Calculated values
Space-group type ... P2/m, No. 10
Uncorrected energy ... -3.1787 eV per atom
DOS at the Fermi energy ... 1.8 states/eV per cell



The following is a DFT calculation (PBE-GGA) of a geometry-optimized TmHgPd4 structure.

Lattice parameters (Å, degrees): 5.932 7.806 4.941 90.00 107.91 90.00
Element x y z (fractional)
Tm: 0.000 0.000 0.000
Tm: 0.000 0.500 0.500
Hg: 0.500 0.000 0.000
Hg: 0.500 0.500 0.500
Pd: 0.154 0.157 0.549
Pd: 0.154 0.343 0.049
Pd: 0.344 0.660 0.953
Pd: 0.344 0.840 0.453
Pd: 0.656 0.160 0.547
Pd: 0.656 0.340 0.047
Pd: 0.846 0.657 0.951
Pd: 0.846 0.843 0.451

Calculated values
Space-group type ... P2_1/c, No. 14
Uncorrected energy ... -4.7244 eV per atom
ΔH_f (0 K) ... -0.47 eV per atom
DOS at the Fermi energy ... 4.6 states/eV per cell



The following is a DFT calculation (PBE-GGA) of a geometry-optimized YZn2Ga structure.

Lattice parameters (Å, degrees): 6.552 5.590 5.590 46.92 90.00 90.00
Element x y z (fractional)
Y: 0.000 0.000 0.000
Y: 0.500 0.192 0.192
Zn: 0.000 0.297 0.297
Zn: 0.307 0.472 0.472
Zn: 0.500 0.897 0.897
Zn: 0.693 0.472 0.472
Ga: 0.198 0.712 0.712
Ga: 0.802 0.712 0.712

Calculated values
Space-group type ... Amm2, No. 38
Uncorrected energy ... -3.4534 eV per atom
ΔH_f (0 K) ... -0.44 eV per atom
DOS at the Fermi energy ... 2.7 states/eV per cell



The following is a DFT calculation (PBE-GGA) of a geometry-optimized RbPOsPd structure.

Lattice parameters (Å, degrees): 3.889 3.889 12.817 90.00 90.00 90.00
Element x y z (fractional)
Rb: 0.250 0.250 0.226
Rb: 0.750 0.750 0.774
P: 0.250 0.250 0.604
P: 0.750 0.750 0.396
Os: 0.250 0.750 0.500
Os: 0.750 0.250 0.500
Pd: 0.250 0.750 0.000
Pd: 0.750 0.250 0.000

Calculated values
Space-group type ... P4/nmm, No. 129
Uncorrected energy ... -5.8288 eV per atom
ΔH_f (0 K) ... -0.13 eV per atom
DOS at the Fermi energy ... 4.7 states/eV per cell



The following is a DFT calculation (PBE-GGA) of a geometry-optimized LiTlNiBr4 structure.

Lattice parameters (Å, degrees): 6.544 8.117 8.802 90.00 103.01 90.00
Element x y z (fractional)
Li: 0.184 0.250 0.321
Li: 0.816 0.750 0.679
Tl: 0.310 0.250 0.918
Tl: 0.690 0.750 0.082
Ni: 0.305 0.750 0.672
Ni: 0.695 0.250 0.328
Br: 0.007 0.750 0.462
Br: 0.148 0.750 0.897
Br: 0.443 0.031 0.264
Br: 0.443 0.469 0.264
Br: 0.557 0.531 0.736
Br: 0.557 0.969 0.736
Br: 0.852 0.250 0.103
Br: 0.993 0.250 0.538

Calculated values
Space-group type ... P2_1/m, No. 11
Uncorrected energy ... -3.1461 eV per atom
DOS at the Fermi energy ... 0.5 states/eV per cell



The following is a DFT calculation (PBE-GGA) of a geometry-optimized ThTlNiS3 structure.

Lattice parameters (Å, degrees): 9.048 4.034 9.055 90.00 107.33 90.00
Element x y z (fractional)
Th: 0.170 0.250 0.185
Th: 0.830 0.750 0.815
Tl: 0.233 0.250 0.686
Tl: 0.767 0.750 0.314
Ni: 0.429 0.750 0.414
Ni: 0.571 0.250 0.586
S: 0.150 0.750 0.383
S: 0.158 0.750 0.963
S: 0.486 0.250 0.326
S: 0.514 0.750 0.674
S: 0.842 0.250 0.037
S: 0.850 0.250 0.617

Calculated values
Space-group type ... P2_1/m, No. 11
Uncorrected energy ... -5.7821 eV per atom
DOS at the Fermi energy ... 5.5 states/eV per cell



The following is a DFT calculation (PBE-GGA) of a geometry-optimized HoErNi2Ge2 structure.

Lattice parameters (Å, degrees): 4.202 4.202 7.062 90.00 90.00 120.00
Element x y z (fractional)
Ho: 0.000 0.000 0.000
Er: 0.000 0.000 0.500
Ni: 0.333 0.667 0.744
Ni: 0.667 0.333 0.256
Ge: 0.333 0.667 0.253
Ge: 0.667 0.333 0.747

Calculated values
Space-group type ... P-3m1, No. 164
Uncorrected energy ... -5.7559 eV per atom
ΔH_f (0 K) ... -0.77 eV per atom
DOS at the Fermi energy ... 4.7 states/eV per cell



The following is a DFT calculation (PBE-GGA) of a geometry-optimized PrHoGaRu structure.

Lattice parameters (Å, degrees): 3.912 5.907 5.907 43.91 90.00 90.00
Element x y z (fractional)
Pr: 0.000 0.000 0.000
Ho: 0.500 0.714 0.714
Ga: 0.500 0.407 0.407
Ru: 0.000 0.255 0.255

Calculated values
Space-group type ... Amm2, No. 38
Uncorrected energy ... -5.8369 eV per atom
ΔH_f (0 K) ... -0.42 eV per atom
DOS at the Fermi energy ... 4.5 states/eV per cell
Offset from the most stable computed form ... 0.0 meV/atom



The following is a DFT calculation (PBE-GGA) of a geometry-optimized BeVAu structure.

Lattice parameters (Å, degrees): 7.528 7.528 3.317 90.00 90.00 155.25
Element x y z (fractional)
Be: 0.038 0.962 0.750
Be: 0.962 0.038 0.250
V: 0.418 0.582 0.750
V: 0.582 0.418 0.250
Au: 0.193 0.807 0.750
Au: 0.807 0.193 0.250

Calculated values
Space-group type ... Cmcm, No. 63
Uncorrected energy ... -5.4596 eV per atom
ΔH_f (0 K) ... -0.09 eV per atom
DOS at the Fermi energy ... 2.8 states/eV per cell
Offset from the most stable computed form ... 3.1 meV/atom



The following is a DFT calculation (PBE-GGA) of a geometry-optimized CeTl2Pd structure.

Lattice parameters (Å, degrees): 11.072 11.072 11.072 17.12 17.12 17.12
Element x y z (fractional)
Ce: 0.000 0.000 0.000
Tl: 0.099 0.099 0.099
Tl: 0.901 0.901 0.901
Pd: 0.500 0.500 0.500

Calculated values
Space-group type ... R-3m, No. 166
Uncorrected energy ... -3.8728 eV per atom
ΔH_f (0 K) ... 0.09 eV per atom
DOS at the Fermi energy ... 6.4 states/eV per cell
Offset from the most stable computed form ... 478.4 meV/atom



The following is a DFT calculation (PBE-GGA) of a geometry-optimized SiRu structure.

Lattice parameters (Å, degrees): 2.936 2.936 2.936 90.00 90.00 90.00
Element x y z (fractional)
Si: 0.000 0.000 0.000
Ru: 0.500 0.500 0.500

Calculated values
Space-group type ... Pm-3m, No. 221
Uncorrected energy ... -7.9950 eV per atom
DOS at the Fermi energy ... 0.1 states/eV per cell



The following is a DFT calculation (PBE-GGA) of a geometry-optimized Pr2SmTl9 structure.

Lattice parameters (Å, degrees): 4.840 4.840 14.515 90.00 90.00 90.00
Element x y z (fractional)
Pr: 0.000 0.000 0.168
Pr: 0.000 0.000 0.832
Sm: 0.000 0.000 0.500
Tl: 0.000 0.500 0.000
Tl: 0.000 0.500 0.336
Tl: 0.000 0.500 0.664
Tl: 0.500 0.000 0.000
Tl: 0.500 0.000 0.336
Tl: 0.500 0.000 0.664
Tl: 0.500 0.500 0.167
Tl: 0.500 0.500 0.500
Tl: 0.500 0.500 0.833

Calculated values
Space-group type ... P4/mmm, No. 123
Uncorrected energy ... -3.2817 eV per atom
ΔH_f (0 K) ... -0.32 eV per atom
DOS at the Fermi energy ... 5.0 states/eV per cell



The following is a DFT calculation (PBE-GGA) of a geometry-optimized CrAs2Cl structure.

Lattice parameters (Å, degrees): 7.749 7.749 7.749 137.77 137.77 61.26
Element x y z (fractional)
Cr: 0.000 0.000 0.000
Cr: 0.750 0.250 0.500
As: 0.019 0.625 0.894
As: 0.375 0.269 0.394
As: 0.731 0.125 0.106
As: 0.875 0.981 0.606
Cl: 0.250 0.750 0.500
Cl: 0.500 0.500 0.000

Calculated values
Space-group type ... I-42d, No. 122
Uncorrected energy ... -4.8696 eV per atom
DOS at the Fermi energy ... 4.1 states/eV per cell
Offset from the most stable computed form ... 554.6 meV/atom



The following is a DFT calculation (PBE-GGA) of a geometry-optimized CuB3H structure.

Lattice parameters (Å, degrees): 3.228 3.228 3.228 90.00 90.00 90.00
Element x y z (fractional)
Cu: 0.000 0.000 0.000
B: 0.000 0.500 0.500
B: 0.500 0.000 0.500
B: 0.500 0.500 0.000
H: 0.500 0.500 0.500

Calculated values
Space-group type ... Pm-3m, No. 221
Uncorrected energy ... -4.0451 eV per atom
DOS at the Fermi energy ... 1.1 states/eV per cell
Offset from the most stable computed form ... 0.0 meV/atom



The following is a DFT calculation (PBE-GGA) of a geometry-optimized LaZn2Au8 structure.

Lattice parameters (Å, degrees): 5.564 5.564 8.425 90.00 90.00 90.00
Element x y z (fractional)
La: 0.000 0.000 0.000
Zn: 0.000 0.500 0.500
Zn: 0.500 0.000 0.500
Au: 0.254 0.254 0.282
Au: 0.254 0.254 0.718
Au: 0.254 0.746 0.282
Au: 0.254 0.746 0.718
Au: 0.746 0.254 0.282
Au: 0.746 0.254 0.718
Au: 0.746 0.746 0.282
Au: 0.746 0.746 0.718

Calculated values
Space-group type ... P4/mmm, No. 123
Uncorrected energy ... -3.2195 eV per atom
ΔH_f (0 K) ... -0.16 eV per atom
DOS at the Fermi energy ... 4.1 states/eV per cell